! GGA-PBE Cd2InC, relaxed; values from VASP
! Energy of formation: 30.3 kcal/mol of atoms
&SYSTEM
  ibrav = 0, nat = 4, ntyp = 3
/
ATOMIC_SPECIES
Cd 112.41 Cd.upf
In 114.82 In.upf
C 12.01 C.upf
ATOMIC_POSITIONS angstrom
Cd 1.7030 1.7030 1.7030
Cd 5.1089 5.1089 5.1089
In 0.0000 0.0000 0.0000
C 3.4059 3.4059 3.4059
CELL_PARAMETERS angstrom
0.0000 3.4059 3.4059
3.4059 0.0000 3.4059
3.4059 3.4059 0.0000

! GGA-PBE CdIn3C, relaxed; values from VASP
! Energy of formation: 37.3 kcal/mol of atoms
&SYSTEM
  ibrav = 0, nat = 5, ntyp = 3
/
ATOMIC_SPECIES
Cd 112.41 Cd.upf
In 114.82 In.upf
C 12.01 C.upf
ATOMIC_POSITIONS angstrom
Cd 0.0000 0.0000 0.0000
In 0.0000 0.0000 2.7590
In 0.0000 2.7590 0.0000
In 2.7590 0.0000 0.0000
C 2.7590 2.7590 2.7590
CELL_PARAMETERS angstrom
5.5180 0.0000 0.0000
0.0000 5.5180 0.0000
0.0000 0.0000 5.5180

! GGA-PBE CdIn3C, relaxed; values from VASP
! Energy of formation: 17.7 kcal/mol of atoms
&SYSTEM
  ibrav = 0, nat = 5, ntyp = 3
/
ATOMIC_SPECIES
Cd 112.41 Cd.upf
In 114.82 In.upf
C 12.01 C.upf
ATOMIC_POSITIONS angstrom
Cd 0.0000 0.0000 0.0000
In 0.0000 2.4286 2.4286
In 2.4286 0.0000 2.4286
In 2.4286 2.4286 0.0000
C 2.4286 2.4286 2.4286
CELL_PARAMETERS angstrom
4.8572 0.0000 0.0000
0.0000 4.8572 0.0000
0.0000 0.0000 4.8572

! GGA-PBE CdIn2C, relaxed; values from VASP
! Energy of formation: 16.6 kcal/mol of atoms
&SYSTEM
  ibrav = 0, nat = 8, ntyp = 3
/
ATOMIC_SPECIES
Cd 112.41 Cd.upf
In 114.82 In.upf
C 12.01 C.upf
ATOMIC_POSITIONS angstrom
Cd 0.0000 0.0000 0.0000
Cd 0.0000 3.1948 2.3301
In 1.5974 -0.9731 3.4951
In 2.2217 1.5974 1.1650
In 1.5974 4.1678 -1.1650
In 0.9731 1.5974 5.8252
C 3.1948 0.0000 2.3301
C 0.0000 0.0000 4.6601
CELL_PARAMETERS angstrom
-3.1948 3.1948 4.6601
3.1948 -3.1948 4.6601
3.1948 3.1948 -4.6601

! GGA-PBE CdIn2C, relaxed; values from VASP
! Energy of formation: 29.8 kcal/mol of atoms
&SYSTEM
  ibrav = 0, nat = 4, ntyp = 3
/
ATOMIC_SPECIES
Cd 112.41 Cd.upf
In 114.82 In.upf
C 12.01 C.upf
ATOMIC_POSITIONS angstrom
Cd 0.0000 0.0000 0.0000
In 1.7305 1.7305 1.7305
In 5.1915 5.1915 5.1915
C 3.4610 3.4610 3.4610
CELL_PARAMETERS angstrom
0.0000 3.4610 3.4610
3.4610 0.0000 3.4610
3.4610 3.4610 0.0000

! GGA-PBE K2CdInC, relaxed; values from VASP
! Energy of formation: 30.3 kcal/mol of atoms
&SYSTEM
  ibrav = 0, nat = 5, ntyp = 4
/
ATOMIC_SPECIES
K 39.10 K.upf
Cd 112.41 Cd.upf
In 114.82 In.upf
C 12.01 C.upf
ATOMIC_POSITIONS angstrom
K 0.0000 3.3551 0.0000
K 3.3551 0.0000 0.0000
Cd 0.0000 0.0000 0.0000
In 0.0000 0.0000 2.6236
C 3.3551 3.3551 2.6236
CELL_PARAMETERS angstrom
6.7101 0.0000 0.0000
0.0000 6.7101 0.0000
0.0000 0.0000 5.2471

! GGA-PBE NaCd2InC, relaxed; values from VASP
! Energy of formation: 23.4 kcal/mol of atoms
&SYSTEM
  ibrav = 0, nat = 5, ntyp = 4
/
ATOMIC_SPECIES
Na 22.99 Na.upf
Cd 112.41 Cd.upf
In 114.82 In.upf
C 12.01 C.upf
ATOMIC_POSITIONS angstrom
Na 0.0000 0.0000 0.0000
Cd 0.0000 2.9453 2.0610
Cd 2.9453 0.0000 2.0610
In 2.9453 2.9453 2.0610
C 2.9453 2.9453 0.0000
CELL_PARAMETERS angstrom
5.8906 0.0000 0.0000
0.0000 5.8906 0.0000
0.0000 0.0000 4.1220

! GGA-PBE NbCdInC2, relaxed; values from VASP
! Energy of formation: 59.6 kcal/mol of atoms
&SYSTEM
  ibrav = 0, nat = 5, ntyp = 4
/
ATOMIC_SPECIES
Nb 92.91 Nb.upf
Cd 112.41 Cd.upf
In 114.82 In.upf
C 12.01 C.upf
ATOMIC_POSITIONS angstrom
Nb 0.0000 0.0000 0.0000
Cd 2.1377 2.1377 0.0000
In 0.0000 0.0000 2.7492
C 0.0000 2.1377 2.7492
C 2.1377 0.0000 2.7492
CELL_PARAMETERS angstrom
4.2753 0.0000 0.0000
0.0000 4.2753 0.0000
0.0000 0.0000 5.4985

! GGA-PBE CdIn2NiC, relaxed; values from VASP
! Energy of formation: 28.6 kcal/mol of atoms
&SYSTEM
  ibrav = 0, nat = 5, ntyp = 4
/
ATOMIC_SPECIES
Cd 112.41 Cd.upf
In 114.82 In.upf
Ni 58.69 Ni.upf
C 12.01 C.upf
ATOMIC_POSITIONS angstrom
Cd 0.0000 0.0000 0.0000
In 0.0000 2.4394 2.4910
In 2.4394 0.0000 2.4910
Ni 0.0000 0.0000 2.4910
C 2.4394 2.4394 0.0000
CELL_PARAMETERS angstrom
4.8787 0.0000 0.0000
0.0000 4.8787 0.0000
0.0000 0.0000 4.9821

! GGA-PBE Cd2InCO, relaxed; values from VASP
! Total energy: -0.1784 Ry/atom
&SYSTEM
  ibrav = 0, nat = 5, ntyp = 4
/
ATOMIC_SPECIES
Cd 112.41 Cd.upf
In 114.82 In.upf
C 12.01 C.upf
O 16.00 O.upf
ATOMIC_POSITIONS angstrom
Cd 0.0000 2.9046 0.0000
Cd 2.9046 0.0000 0.0000
In 0.0000 0.0000 0.0000
C 2.9046 2.9046 2.0229
O 0.0000 0.0000 2.0229
CELL_PARAMETERS angstrom
5.8092 0.0000 0.0000
0.0000 5.8092 0.0000
0.0000 0.0000 4.0459

! GGA-PBE CdInP2C, relaxed; values from VASP
! Energy of formation: 50.3 kcal/mol of atoms
&SYSTEM
  ibrav = 0, nat = 5, ntyp = 4
/
ATOMIC_SPECIES
Cd 112.41 Cd.upf
In 114.82 In.upf
P 30.97 P.upf
C 12.01 C.upf
ATOMIC_POSITIONS angstrom
Cd 0.0000 0.0000 0.0000
In 0.0000 0.0000 2.9074
P 0.0000 2.4726 0.0000
P 2.4726 0.0000 0.0000
C 2.4726 2.4726 2.9074
CELL_PARAMETERS angstrom
4.9452 0.0000 0.0000
0.0000 4.9452 0.0000
0.0000 0.0000 5.8148

! GGA-PBE CdIn2PbC, relaxed; values from VASP
! Energy of formation: 44.0 kcal/mol of atoms
&SYSTEM
  ibrav = 0, nat = 5, ntyp = 4
/
ATOMIC_SPECIES
Cd 112.41 Cd.upf
In 114.82 In.upf
Pb 207.20 Pb.upf
C 12.01 C.upf
ATOMIC_POSITIONS angstrom
Cd 0.0000 0.0000 0.0000
In 0.0000 3.5097 3.1256
In 3.5097 0.0000 3.1256
Pb 0.0000 0.0000 3.1256
C 3.5097 3.5097 0.0000
CELL_PARAMETERS angstrom
7.0193 0.0000 0.0000
0.0000 7.0193 0.0000
0.0000 0.0000 6.2513

The following D(E_F) values (in states/eV/atom) correspond, in order, to the records above: 0.64 0.41 1.03 0.07 0.58 0.70 0.33 1.43 0.46 0.56 0.69 0.69.